Entry 1:
DFT (PBEsol) results for a relaxed CsTi2Au2 crystal.

Cell: 9.0389 9.0389 9.0389 Å, 155.43 155.43 35.02°
Positions (direct):
Cs  0.0000  0.0000  0.0000
Ti  0.2500  0.7500  0.5000
Ti  0.7500  0.2500  0.5000
Au  0.3585  0.3585  0.0000
Au  0.6415  0.6415  0.0000

Computed properties:
Calculated formation energy ... 0.73 eV/f.u.
Space group ... I4/mmm



Entry 2:
DFT (PBEsol) results for a relaxed Cs2TlAu2 crystal.

Cell: 7.8534 7.8534 5.3850 Å, 90.00 90.00 90.00°
Positions (direct):
Cs  0.1726  0.3274  0.0000
Cs  0.3274  0.8274  0.0000
Cs  0.6726  0.1726  0.0000
Cs  0.8274  0.6726  0.0000
Tl  0.0000  0.0000  0.5000
Tl  0.5000  0.5000  0.5000
Au  0.1272  0.6272  0.5000
Au  0.3728  0.1272  0.5000
Au  0.6272  0.8728  0.5000
Au  0.8728  0.3728  0.5000

Computed properties:
Calculated formation energy ... -0.54 eV/f.u.
Space group ... P4/mbm



Entry 3:
DFT (PBEsol) results for a relaxed CsZn2Au crystal.

Cell: 9.1110 9.1110 9.1110 Å, 144.16 144.16 51.58°
Positions (direct):
Cs  0.3750  0.6250  0.7500
Cs  0.6250  0.3750  0.2500
Zn  0.0000  0.0000  0.0000
Zn  0.0000  0.0000  0.5000
Zn  0.0000  0.5000  0.0000
Zn  0.5000  0.0000  0.5000
Au  0.1250  0.8750  0.2500
Au  0.8750  0.1250  0.7500

Computed properties:
Calculated formation energy ... 0.09 eV/f.u.
Space group ... I4_1/amd



Entry 4:
DFT (PBEsol) results for a relaxed CsZn2Au2 crystal.

Cell: 6.2819 6.2819 6.2819 Å, 136.26 136.26 63.57°
Positions (direct):
Cs  0.0000  0.0000  0.0000
Zn  0.2500  0.7500  0.5000
Zn  0.7500  0.2500  0.5000
Au  0.3644  0.3644  0.0000
Au  0.6356  0.6356  0.0000

Computed properties:
Calculated formation energy ... -0.54 eV/f.u.
Space group ... I4/mmm



Entry 5:
DFT (PBEsol) results for a relaxed CsZn3Au crystal.

Cell: 5.0054 5.0054 5.0054 Å, 90.00 90.00 90.00°
Positions (direct):
Cs  0.0000  0.0000  0.0000
Zn  0.0000  0.5000  0.5000
Zn  0.5000  0.0000  0.5000
Zn  0.5000  0.5000  0.0000
Au  0.5000  0.5000  0.5000

Computed properties:
Calculated formation energy ... -0.01 eV/f.u.
Space group ... Pm-3m



Entry 6:
DFT (PBEsol) results for a relaxed Cs2ZnAu2 crystal.

Cell: 6.1408 6.1408 6.1408 Å, 112.98 112.98 102.66°
Positions (direct):
Cs  0.2500  0.7500  0.5000
Cs  0.7500  0.2500  0.5000
Zn  0.0000  0.0000  0.0000
Au  0.3261  0.3261  0.0000
Au  0.6739  0.6739  0.0000

Computed properties:
Calculated formation energy ... -0.34 eV/f.u.
Space group ... I4/mmm



no.,VASP energy (eV per atom),ρ (Mg/m³),D(E_F) (states/eV/cell)
1,-4.9416,8.1,4.34
2,-2.5799,8.6,5.11
3,-1.9846,5.9,1.90
4,-2.4997,9.3,1.24
5,-1.9251,7.0,1.06
6,-2.3305,6.8,1.87